First-principles (PBE-GGA) data for a geometry-optimized ScOsCl structure, as listed in the Alexandria database.

Cell and atoms, written as POSCAR:
```
ScOsCl
1.0
-4.314 -0.346 0.176
-2.065 -2.724 -2.661
-1.821 -3.601 1.574
Cl Os Sc
1 1 1
Cartesian
-4.100 -3.335 -0.455 Cl
-6.150 -5.003 -0.683 Os
0.000 0.000 0.000 Sc
```

Output
The calculation puts the relative energy among the computed polymorphs at 2.68 eV/f.u. Its space group is F-43m, No. 216. As for the uncorrected formation energy: 160 kJ/mol of formula units. The calculation puts the density at 7.82 g/cm³.